1.
DFT (GGA-PBE) results for crystalline Er6TlIn5 at its relaxed geometry.

Values from the calculation:
Energy above the most stable polymorph in this dataset: 0.000 eV/atom
Size of the total moment: 0.00 μB per formula unit
Formation energy: -40.3 kJ per mole of atoms
Final energy: -48.45 eV per formula unit
V: 313.1 Å³ per cell

Unit cell a=5.303 b=7.424 c=8.383 alpha=90.00 beta=71.56 gamma=90.00
Positions (direct):
In1 0.667 0.500 0.667
In2 0.333 0.000 0.334
In3 0.000 0.500 0.000
In4 0.333 0.500 0.333
In5 0.667 0.000 0.666
Er1 0.833 0.749 0.334
Er2 0.833 0.251 0.334
Er3 0.500 0.749 0.000
Er4 0.167 0.251 0.666
Er5 0.167 0.749 0.666
Er6 0.500 0.251 0.000
Tl1 0.000 0.000 0.000

=====

2.
DFT (GGA-PBE) results for crystalline Er5Tl3In at its relaxed geometry.

Values from the calculation:
Size of the total moment: 0.00 μB per formula unit
Formation energy: -33.2 kJ per mole of atoms
Final energy: -35.75 eV per formula unit
V: 489.7 Å³ per cell

Unit cell a=6.638 b=9.229 c=9.229 alpha=120.00 beta=90.00 gamma=90.00
Positions (direct):
Er1 0.750 0.712 0.712
Er2 0.500 0.333 0.667
Er3 0.000 0.333 0.667
Er4 0.000 0.667 0.333
Er5 0.750 0.288 0.000
Er6 0.250 0.288 0.288
Er7 0.250 0.000 0.712
Er8 0.250 0.712 0.000
Er9 0.750 0.000 0.288
Er10 0.500 0.667 0.333
Tl1 0.250 0.374 0.000
Tl2 0.750 0.374 0.374
Tl3 0.750 0.626 0.000
Tl4 0.750 0.000 0.626
Tl5 0.250 0.626 0.626
Tl6 0.250 0.000 0.374
In1 0.500 0.000 0.000
In2 0.000 0.000 0.000

=====

3.
DFT (GGA-PBE) results for crystalline Er2TlIn at its relaxed geometry.

Values from the calculation:
Size of the total moment: 0.00 μB per formula unit
Formation energy: -36.1 kJ per mole of atoms
Final energy: -15.73 eV per formula unit
V: 105.1 Å³ per cell

Unit cell a=3.553 b=5.482 c=5.482 alpha=100.18 beta=90.01 gamma=90.01
Positions (direct):
Er1 0.000 0.500 0.000
Er2 0.000 0.000 0.500
Tl1 0.500 0.500 0.500
In1 0.500 0.000 0.000

=====

4.
DFT (GGA-PBE) results for crystalline Er4TlIn3 at its relaxed geometry.

Values from the calculation:
Energy above the most stable polymorph in this dataset: 0.000 eV/atom
Size of the total moment: 0.00 μB per formula unit
Formation energy: -39.5 kJ per mole of atoms
Final energy: -32.11 eV per formula unit
V: 209.5 Å³ per cell

Unit cell a=3.724 b=3.724 c=15.105 alpha=90.00 beta=90.00 gamma=90.00
Positions (direct):
Er1 0.000 0.000 0.623
Er2 0.000 0.000 0.128
Er3 0.000 0.000 0.872
Er4 0.000 0.000 0.377
In1 0.500 0.500 0.748
In2 0.500 0.500 0.252
In3 0.500 0.500 0.500
Tl1 0.500 0.500 0.000

=====

5.
DFT (GGA-PBE) results for crystalline Er4Tl2In at its relaxed geometry.

Values from the calculation:
Energy above the most stable polymorph in this dataset: 0.079 eV/atom
Size of the total moment: 0.00 μB per formula unit
Formation energy: -12.5 kJ per mole of atoms
Final energy: -26.63 eV per formula unit
V: 405.7 Å³ per cell

Unit cell a=7.315 b=6.586 c=9.415 alpha=90.00 beta=116.57 gamma=90.00
Positions (direct):
Tl1 0.771 0.750 0.057
Tl2 0.616 0.750 0.547
Tl3 0.384 0.250 0.453
Tl4 0.229 0.250 0.943
Er1 0.959 0.250 0.156
Er2 0.032 0.750 0.456
Er3 0.558 0.496 0.224
Er4 0.968 0.250 0.544
Er5 0.442 0.996 0.776
Er6 0.041 0.750 0.844
Er7 0.442 0.504 0.776
Er8 0.558 0.004 0.224
In1 0.791 0.250 0.785
In2 0.209 0.750 0.215

=====

6.
DFT (GGA-PBE) results for crystalline Er8Tl3In2 at its relaxed geometry.

Values from the calculation:
Size of the total moment: 0.00 μB per formula unit
Formation energy: -14.0 kJ per mole of atoms
Final energy: -50.97 eV per formula unit
V: 394.1 Å³ per cell

Unit cell a=5.180 b=10.357 c=8.988 alpha=125.18 beta=90.00 gamma=90.00
Positions (direct):
Tl1 0.000 0.254 0.000
Tl2 0.000 0.746 0.000
Tl3 0.500 0.000 0.000
In1 0.500 0.748 0.496
In2 0.500 0.252 0.504
Er1 0.500 0.871 0.255
Er2 0.000 0.624 0.248
Er3 0.500 0.129 0.745
Er4 0.000 0.133 0.266
Er5 0.500 0.616 0.745
Er6 0.000 0.867 0.734
Er7 0.500 0.384 0.255
Er8 0.000 0.376 0.752